A relaxed LaTi2Be2 crystal, computed with PBE.

Output
Calculated formation energy ... 0.308 eV/atom
Symmetry ... I4/mmm (139)
M_tot ... 0.00 μB/cell
Offset from the most stable computed form ... 127 meV/atom

Cell: 4.2072 4.2072 6.0449 Å, 69.64 69.64 90.00°
Closest atoms and distances in Å follow each position.
Element x y z (fractional)
1 Be 0.7500 0.2500 0.5000  4 Ti 2.36
2 Be 0.2500 0.7500 0.5000  4 Ti 2.36
3 Ti 0.3512 0.3512 0.2976  4 Be 2.36
4 Ti 0.6488 0.6488 0.7024  4 Be 2.36
5 La 0.0000 0.0000 0.0000  10 Ti 3.36-3.70, 8 Be 3.37

---

A relaxed CeGaTcGe crystal, computed with PBE.

Output
Calculated formation energy ... -0.366 eV/atom
Symmetry ... R3m (160)
M_tot ... 0.29 μB/cell

Cell: 4.2962 4.2962 5.5487 Å, 67.22 67.22 60.00°
Closest atoms and distances in Å follow each position.
Element x y z (fractional)
1 Ce 0.8048 0.8048 0.5857  4 Ge 3.01-3.25, 4 Ga 3.02-3.24
2 Ga 0.5871 0.5871 0.2388  3 Tc 2.62, 3 Ge 2.91
3 Tc 0.3110 0.3110 0.0670  3 Ge 2.57, 3 Ga 2.62
4 Ge 0.0231 0.0231 0.9308  3 Tc 2.57

---

A relaxed Rb4TlFe2 crystal, computed with PBE.

Output
Calculated formation energy ... 0.817 eV/atom
Symmetry ... I4/mmm (139)
M_tot ... 6.72 μB/cell

Cell: 7.0540 7.0540 9.7304 Å, 68.75 68.75 90.00°
Closest atoms and distances in Å follow each position.
Element x y z (fractional)
1 Tl 0.0000 0.0000 0.0000  6 Rb 3.53-3.74
2 Fe 0.5627 0.5627 0.8746  1 Fe 2.10
3 Fe 0.4373 0.4373 0.1254  1 Fe 2.10
4 Rb 0.7761 0.7761 0.4479  1 Fe 3.57, 1 Tl 3.74
5 Rb 0.2239 0.2239 0.5521  1 Fe 3.57, 1 Tl 3.74
6 Rb 0.0000 0.5000 0.0000  2 Tl 3.53, 4 Fe 3.68
7 Rb 0.5000 0.0000 0.0000  2 Tl 3.53, 4 Fe 3.68

---

A relaxed LiGdZrTc crystal, computed with PBE.

Output
Calculated formation energy ... -0.067 eV/atom
Symmetry ... F-43m (216)
M_tot ... 7.26 μB/cell

Cell: 4.8120 4.8120 4.8120 Å, 60.00 60.00 60.00°
Closest atoms and distances in Å follow each position.
Element x y z (fractional)
1 Gd 0.5000 0.5000 0.5000  4 Tc 2.95, 4 Li 2.95
2 Tc 0.2500 0.2500 0.2500  4 Zr 2.95, 4 Gd 2.95
3 Zr 0.0000 0.0000 0.0000  4 Li 2.95, 4 Tc 2.95
4 Li 0.7500 0.7500 0.7500  4 Zr 2.95, 4 Gd 2.95

---

A relaxed Ga3AgCl crystal, computed with PBE.

Output
Uncorrected formation energy ... -0.0110 eV/atom
Symmetry ... Pm-3m (221)
M_tot ... 0.00 μB/cell
Offset from the most stable computed form ... 0 meV/atom

Cell: 5.0742 5.0742 5.0742 Å, 90.00 90.00 90.00°
Closest atoms and distances in Å follow each position.
Element x y z (fractional)
1 Ga 0.0000 0.5000 0.0000  2 Ag 2.54
2 Ga 0.0000 0.0000 0.5000  2 Ag 2.54
3 Ga 0.5000 0.0000 0.0000  2 Ag 2.54
4 Ag 0.0000 0.0000 0.0000  6 Ga 2.54
5 Cl 0.5000 0.5000 0.5000  12 Ga 3.59

---

A relaxed TmCdAg4 crystal, computed with PBE.

Output
Calculated formation energy ... -0.024 eV/atom
Symmetry ... P-1 (2)
M_tot ... 0.00 μB/cell
Offset from the most stable computed form ... 140 meV/atom

Cell: 5.4326 6.8930 7.5438 Å, 91.55 110.56 80.71°
Closest atoms and distances in Å follow each position.
Element x y z (fractional)
1 Tm 0.8479 0.7392 0.9371  8 Ag 2.86-3.17
2 Tm 0.1521 0.2608 0.0629  8 Ag 2.86-3.17
3 Cd 0.5000 0.0000 0.5000  6 Ag 2.91-3.10
4 Cd 0.0000 0.5000 0.5000  4 Ag 2.63-2.69
5 Ag 0.5649 0.1335 0.8842  4 Ag 2.71-2.90, 2 Tm 2.86-3.01, 1 Cd 2.93
6 Ag 0.6837 0.4183 0.1619  1 Cd 2.63, 3 Ag 2.69-2.86, 1 Tm 2.93
7 Ag 0.4351 0.8665 0.1158  4 Ag 2.71-2.90, 2 Tm 2.86-3.01, 1 Cd 2.93
8 Ag 0.3163 0.5817 0.8381  1 Cd 2.63, 3 Ag 2.69-2.86, 1 Tm 2.93
9 Ag 0.0648 0.9921 0.7091  5 Ag 2.89-3.10, 1 Cd 2.91, 2 Tm 3.10-3.15
10 Ag 0.3145 0.6119 0.3284  1 Cd 2.69, 3 Ag 2.71-2.95
11 Ag 0.9352 0.0079 0.2909  5 Ag 2.89-3.10, 1 Cd 2.91, 2 Tm 3.10-3.15
12 Ag 0.6855 0.3881 0.6716  1 Cd 2.69, 3 Ag 2.71-2.95

---

A relaxed Sc4Bi2SbAs crystal, computed with PBE.

Output
Uncorrected formation energy ... -0.8881 eV/atom
Symmetry ... P2/m (10)
M_tot ... 0.00 μB/cell

Cell: 4.1075 7.1714 7.2261 Å, 109.05 90.00 90.00°
Closest atoms and distances in Å follow each position.
Element x y z (fractional)
1 Sc 0.5000 0.2319 0.2272  2 As 2.81, 1 Sb 2.91, 3 Bi 2.97-3.05
2 Sc 0.5000 0.7681 0.7728  2 As 2.81, 1 Sb 2.91, 3 Bi 2.97-3.05
3 Sc 0.0000 0.2442 0.7660  1 As 2.80, 2 Sb 2.90, 3 Bi 2.96-3.06
4 Sc 0.0000 0.7558 0.2340  1 As 2.80, 2 Sb 2.90, 3 Bi 2.96-3.06
5 Bi 0.5000 0.0000 0.5000  6 Sc 2.96-2.97
6 Bi 0.0000 0.5000 0.5000  6 Sc 3.05-3.06
7 Sb 0.5000 0.5000 0.0000  6 Sc 2.90-2.91
8 As 0.0000 0.0000 0.0000  6 Sc 2.80-2.81

---

A relaxed BPRhCS crystal, computed with PBE.

Output
Uncorrected formation energy ... 0.1725 eV/atom
Symmetry ... P1 (1)
M_tot ... 0.00 μB/cell
Offset from the most stable computed form ... 323 meV/atom

Cell: 3.2604 4.3309 5.1184 Å, 89.33 80.17 69.29°
Closest atoms and distances in Å follow each position.
Element x y z (fractional)
1 P 0.9635 0.1221 0.3302  1 C 1.80, 2 B 1.95-1.96
2 S 0.5049 0.7315 0.8540  1 C 1.72
3 B 0.3824 0.3475 0.2250  1 C 1.53
4 Rh 0.8269 0.1436 0.7965  1 P 2.35, 3 S 2.36-2.39, 1 B 2.40
5 C 0.2841 0.7145 0.1825  1 B 1.53

---

A relaxed BSeSBr2 crystal, computed with PBE.

Output
Uncorrected formation energy ... 1.2300 eV/atom
Symmetry ... P4/mmm (123)
M_tot ... 0.00 μB/cell
Offset from the most stable computed form ... 280 meV/atom

Cell: 5.0515 5.0515 5.0290 Å, 90.00 90.00 90.00°
Closest atoms and distances in Å follow each position.
Element x y z (fractional)
1 S 0.0000 0.0000 0.0000  2 Se 2.51, 4 Br 2.53
2 B 0.5000 0.5000 0.5000  8 Br 3.56, 4 Se 3.57
3 Se 0.0000 0.0000 0.5000  2 S 2.51
4 Br 0.0000 0.5000 0.0000  2 S 2.53
5 Br 0.5000 0.0000 0.0000  2 S 2.53

---

A relaxed BaCaSe2 crystal, computed with PBE.

Output
Uncorrected formation energy ... -1.8234 eV/atom
Symmetry ... Imm2 (44)
M_tot ... 0.00 μB/cell
Offset from the most stable computed form ... 177 meV/atom

Cell: 8.1474 8.1474 8.1474 Å, 151.48 150.61 41.42°
Closest atoms and distances in Å follow each position.
Element x y z (fractional)
1 Ca 0.2052 0.7052 0.5000  6 Se 3.03-3.11
2 Ba 0.4563 0.4563 0.0000  6 Se 3.26-3.36
3 Se 0.0561 0.0561 0.0000  2 Ca 3.03, 4 Ba 3.26
4 Se 0.7824 0.2824 0.5000  4 Ca 3.11, 2 Ba 3.36

---

A relaxed Tb3Nd8Dy4 crystal, computed with PBE.

Output
Calculated formation energy ... 0.153 eV/atom
Symmetry ... R-3m (166)
M_tot ... 0.00 μB/cell
Offset from the most stable computed form ... 0 meV/atom

Cell: 7.0382 7.0382 12.6354 Å, 73.83 73.83 60.00°
Closest atoms and distances in Å follow each position.
Element x y z (fractional)
1 Tb 0.5000 0.0000 0.5000  6 Nd 3.50-3.61, 4 Tb 3.52, 2 Dy 3.52
2 Tb 0.0000 0.0000 0.5000  6 Nd 3.50-3.61, 2 Dy 3.52, 4 Tb 3.52
3 Tb 0.0000 0.5000 0.5000  6 Nd 3.50-3.61, 4 Tb 3.52, 2 Dy 3.52
4 Nd 0.2460 0.2460 0.2621  1 Dy 3.22, 3 Tb 3.50, 6 Nd 3.52
5 Nd 0.2483 0.7506 0.2505  6 Nd 3.50-3.54, 3 Dy 3.56-3.62, 2 Tb 3.61
6 Nd 0.7506 0.7506 0.2505  6 Nd 3.50-3.54, 3 Dy 3.56-3.62, 2 Tb 3.61
7 Nd 0.7506 0.2483 0.2505  6 Nd 3.50-3.54, 3 Dy 3.56-3.62, 2 Tb 3.61
8 Nd 0.7540 0.7540 0.7379  1 Dy 3.22, 3 Tb 3.50, 6 Nd 3.52
9 Nd 0.7517 0.2494 0.7495  6 Nd 3.50-3.54, 3 Dy 3.56-3.62, 2 Tb 3.61
10 Nd 0.2494 0.2494 0.7495  6 Nd 3.50-3.54, 3 Dy 3.56-3.62, 2 Tb 3.61
11 Nd 0.2494 0.7517 0.7495  6 Nd 3.50-3.54, 3 Dy 3.56-3.62, 2 Tb 3.61
12 Dy 0.0000 0.0000 0.0000  6 Nd 3.62
13 Dy 0.3357 0.3357 0.9929  4 Nd 3.22-3.56
14 Dy 0.5000 0.5000 0.5000  6 Tb 3.52, 6 Nd 3.62
15 Dy 0.6643 0.6643 0.0071  4 Nd 3.22-3.56

---

A relaxed Co3HgAu crystal, computed with PBE.

Output
Calculated formation energy ... 1.378 eV/atom
Symmetry ... Pm-3m (221)
M_tot ... 6.14 μB/cell
Offset from the most stable computed form ... 0 meV/atom

Cell: 4.7171 4.7171 4.7171 Å, 90.00 90.00 90.00°
Closest atoms and distances in Å follow each position.
Element x y z (fractional)
1 Co 0.0000 0.5000 0.0000  2 Au 2.36
2 Co 0.0000 0.0000 0.5000  2 Au 2.36
3 Co 0.5000 0.0000 0.0000  2 Au 2.36
4 Au 0.0000 0.0000 0.0000  6 Co 2.36
5 Hg 0.5000 0.5000 0.5000  12 Co 3.34

---

A relaxed RbUGaBr6 crystal, computed with PBE.

Output
Uncorrected formation energy ... -1.2746 eV/atom
Symmetry ... P-31c (163)
M_tot ... 4.00 μB/cell

Cell: 7.8228 7.8228 14.4897 Å, 90.00 90.00 120.00°
Closest atoms and distances in Å follow each position.
Element x y z (fractional)
1 Rb 0.0000 0.0000 0.0000  6 Br 3.52
2 Rb 0.0000 0.0000 0.5000  6 Br 3.52
3 U 0.6667 0.3333 0.2500  6 Br 2.80
4 U 0.3333 0.6667 0.7500  6 Br 2.80
5 Ga 0.3333 0.6667 0.2500  6 Br 3.12
6 Ga 0.6667 0.3333 0.7500  6 Br 3.12
7 Br 0.6475 0.6162 0.1395  1 U 2.80, 1 Ga 3.12
8 Br 0.9687 0.3525 0.1395  1 U 2.80, 1 Ga 3.12
9 Br 0.3525 0.9687 0.6395  1 U 2.80, 1 Ga 3.12
10 Br 0.0313 0.6475 0.8605  1 U 2.80, 1 Ga 3.12
11 Br 0.3838 0.3525 0.3605  1 U 2.80, 1 Ga 3.12
12 Br 0.9687 0.6162 0.3605  1 U 2.80, 1 Ga 3.12
13 Br 0.6162 0.9687 0.8605  1 U 2.80, 1 Ga 3.12
14 Br 0.6475 0.0313 0.3605  1 U 2.80, 1 Ga 3.12
15 Br 0.0313 0.3838 0.6395  1 U 2.80, 1 Ga 3.12
16 Br 0.3838 0.0313 0.1395  1 U 2.80, 1 Ga 3.12
17 Br 0.6162 0.6475 0.6395  1 U 2.80, 1 Ga 3.12
18 Br 0.3525 0.3838 0.8605  1 U 2.80, 1 Ga 3.12

---

A relaxed ZrIn2Ir crystal, computed with PBE.

Output
Calculated formation energy ... -0.180 eV/atom
Symmetry ... P4/mmm (123)
M_tot ... 0.00 μB/cell

Cell: 3.1853 3.1853 7.7443 Å, 90.00 90.00 90.00°
Closest atoms and distances in Å follow each position.
Element x y z (fractional)
1 In 0.0000 0.0000 0.0300  4 Ir 2.82, 4 Zr 3.13
2 In 0.0000 0.0000 0.4700  4 Ir 2.82, 4 Zr 3.13
3 Ir 0.5000 0.5000 0.2500  8 In 2.82
4 Zr 0.5000 0.5000 0.7500  8 In 3.13, 4 Zr 3.19

---

A relaxed ScRh crystal, computed with PBE.

Output
Calculated formation energy ... 0.116 eV/atom
Symmetry ... F-43m (216)
M_tot ... 0.00 μB/cell

Cell: 4.1219 4.1219 4.1219 Å, 60.00 60.00 60.00°
Closest atoms and distances in Å follow each position.
Element x y z (fractional)
1 Rh 0.0000 0.0000 0.0000  4 Sc 2.52
2 Sc 0.2500 0.2500 0.2500  4 Rh 2.52

---

A relaxed Ti3PAu crystal, computed with PBE.

Output
Calculated formation energy ... 0.778 eV/atom
Symmetry ... Pm-3m (221)
M_tot ... 2.06 μB/cell
Offset from the most stable computed form ... 1101 meV/atom

Cell: 4.8605 4.8605 4.8605 Å, 90.00 90.00 90.00°
Closest atoms and distances in Å follow each position.
Element x y z (fractional)
1 P 0.5000 0.5000 0.5000  12 Ti 3.44
2 Au 0.0000 0.0000 0.0000  6 Ti 2.43
3 Ti 0.0000 0.5000 0.0000  2 Au 2.43
4 Ti 0.0000 0.0000 0.5000  2 Au 2.43
5 Ti 0.5000 0.0000 0.0000  2 Au 2.43

---

A relaxed Tc2MoP crystal, computed with PBE.

Output
Calculated formation energy ... -0.116 eV/atom
Symmetry ... Pm (6)
M_tot ... 0.00 μB/cell

Cell: 3.8158 2.8896 5.3985 Å, 74.73 90.00 90.00°
Closest atoms and distances in Å follow each position.
Element x y z (fractional)
1 Tc 0.0000 0.8158 0.0005  2 P 2.41
2 Tc 0.5000 0.1876 0.2476  1 P 2.45, 4 Tc 2.71-2.73
3 Mo 0.0000 0.5440 0.5333  4 P 2.58, 7 Tc 2.77-2.83
4 P 0.5000 0.9526 0.7186  3 Tc 2.41-2.45, 4 Mo 2.58

---

A relaxed Hf3TiGa crystal, computed with PBE.

Output
Calculated formation energy ... 0.924 eV/atom
Symmetry ... Pm-3m (221)
M_tot ... 0.00 μB/cell
Offset from the most stable computed form ... 473 meV/atom

Cell: 4.8982 4.8982 4.8982 Å, 90.00 90.00 90.00°
Closest atoms and distances in Å follow each position.
Element x y z (fractional)
1 Hf 0.0000 0.5000 0.0000  2 Ti 2.45
2 Hf 0.0000 0.0000 0.5000  2 Ti 2.45
3 Hf 0.5000 0.0000 0.0000  2 Ti 2.45
4 Ga 0.5000 0.5000 0.5000  12 Hf 3.46
5 Ti 0.0000 0.0000 0.0000  6 Hf 2.45

---

A relaxed NaCa3RuO6 crystal, computed with PBE.

Output
Uncorrected formation energy ... -2.1893 eV/atom
Symmetry ... R-3c (167)
M_tot ... 6.00 μB/cell

Cell: 6.5608 6.5608 6.5608 Å, 90.44 90.44 90.44°
Closest atoms and distances in Å follow each position.
Element x y z (fractional)
1 Na 0.2500 0.2500 0.2500  6 O 2.36
2 Na 0.7500 0.7500 0.7500  6 O 2.36
3 Ca 0.7500 0.1049 0.3951  6 O 2.40-2.49
4 Ca 0.3951 0.7500 0.1049  6 O 2.40-2.49
5 Ca 0.1049 0.3951 0.7500  6 O 2.40-2.49
6 Ca 0.2500 0.8951 0.6049  6 O 2.40-2.49
7 Ca 0.6049 0.2500 0.8951  6 O 2.40-2.49
8 Ca 0.8951 0.6049 0.2500  6 O 2.40-2.49
9 Ru 0.5000 0.5000 0.5000  6 O 1.99
10 Ru 0.0000 0.0000 0.0000  6 O 1.99
11 O 0.4325 0.2097 0.5576  1 Ru 1.99
12 O 0.5576 0.4325 0.2097  1 Ru 1.99
13 O 0.2097 0.5576 0.4325  1 Ru 1.99
14 O 0.0675 0.9424 0.2903  1 Ru 1.99
15 O 0.2903 0.0675 0.9424  1 Ru 1.99
16 O 0.9424 0.2903 0.0675  1 Ru 1.99
17 O 0.5675 0.7903 0.4424  1 Ru 1.99
18 O 0.4424 0.5675 0.7903  1 Ru 1.99
19 O 0.7903 0.4424 0.5675  1 Ru 1.99
20 O 0.9325 0.0576 0.7097  1 Ru 1.99
21 O 0.0576 0.7097 0.9325  1 Ru 1.99
22 O 0.7097 0.9325 0.0576  1 Ru 1.99

---

A relaxed KBe3Al crystal, computed with PBE.

Output
Calculated formation energy ... 0.951 eV/atom
Symmetry ... Pm-3m (221)
M_tot ... 0.00 μB/cell
Offset from the most stable computed form ... 0 meV/atom

Cell: 4.6019 4.6019 4.6019 Å, 90.00 90.00 90.00°
Closest atoms and distances in Å follow each position.
Element x y z (fractional)
1 Be 0.0000 0.5000 0.0000  2 Al 2.30
2 Be 0.0000 0.0000 0.5000  2 Al 2.30
3 Be 0.5000 0.0000 0.0000  2 Al 2.30
4 K 0.5000 0.5000 0.5000  12 Be 3.25
5 Al 0.0000 0.0000 0.0000  6 Be 2.30

---

| no. | VASP energy (eV per atom) |
| --- | --- |
| 1 | -5.33 |
| 2 | -6.35 |
| 3 | -2.49 |
| 4 | -8.79 |
| 5 | -2.77 |
| 6 | -2.82 |
| 7 | -6.12 |
| 8 | -6.39 |
| 9 | -2.30 |
| 10 | -4.55 |
| 11 | -4.54 |
| 12 | -3.60 |
| 13 | -4.09 |
| 14 | -5.90 |
| 15 | -6.73 |
| 16 | -5.70 |
| 17 | -9.36 |
| 18 | -7.23 |
| 19 | -6.40 |
| 20 | -2.25 |